[1]
First-principles (GGA-PBE) data for a geometry-optimized ZrIn2Os structure, as listed in Alexandria.

a b c (Å): 6.7368 6.7368 6.7368
angles (deg): 90.00 90.00 90.00
Last column: nearest neighbours and their distance in Å.
Space group Fm-3m (No. 225)
One atom of each set of equivalent atoms:
Zr (0.0000, 0.0000, 0.0000) x4  8 In 2.92
In (0.2500, 0.2500, 0.2500) x8  4 Zr 2.92, 4 Os 2.92
Os (0.0000, 0.0000, 0.5000) x4  8 In 2.92

Results
formation enthalpy at 0 K: 0.134 eV/atom
uncorrected energy: -24.7 eV/f.u.
magnetization: 0.00 μB per cell
D(E_F): 0.356 states/eV/atom
volume: 19.11 A^3/atom

[2]
First-principles (GGA-PBE) data for a geometry-optimized Cs2BiBr4 structure, as listed in Alexandria.

a b c (Å): 6.0513 6.0513 17.8408
angles (deg): 90.00 90.00 90.00
Last column: nearest neighbours and their distance in Å.
Space group I4/mmm (No. 139)
One atom of each set of equivalent atoms:
Cs (0.0000, 0.0000, 0.1345) x4  5 Br 3.60-3.86
Bi (0.0000, 0.0000, 0.5000) x2  6 Br 2.92-3.03
Br (0.0000, 0.0000, 0.3363) x4  1 Bi 2.92
Br (0.0000, 0.5000, 0.0000) x4  2 Bi 3.03

Results
uncorrected energy: -21.0 eV/f.u.
magnetization: 0.00 μB per cell
energy relative to the lowest polymorph listed for this composition: 7.4 meV per atom
D(E_F): 0.337 states/eV/atom
raw formation energy: -1.245 eV/atom
volume: 46.66 A^3/atom

[3]
First-principles (GGA-PBE) data for a geometry-optimized TbAgTe3 structure, as listed in Alexandria.

a b c (Å): 4.3136 6.2613 10.9249
angles (deg): 90.00 90.00 90.00
Last column: nearest neighbours and their distance in Å.
Space group Pmmn (No. 59, origin choice 2)
One atom of each set of equivalent atoms:
Tb (0.2500, 0.2500, 0.1458) x2  8 Te 3.09-3.28
Ag (0.2500, 0.7500, 0.4561) x2  6 Te 2.91-3.09
Te (0.2500, 0.5067, 0.6835) x4  3 Ag 2.91-3.09, 2 Te 3.05-3.21, 2 Tb 3.23
Te (0.2500, 0.7500, 0.0571) x2  4 Tb 3.09-3.28

Results
uncorrected energy: -20.1 eV/f.u.
magnetization: 0.00 μB per cell
D(E_F): 0.553 states/eV/atom
raw formation energy: -0.642 eV/atom
volume: 29.51 A^3/atom

[4]
First-principles (GGA-PBE) data for a geometry-optimized Ac2As4PdPt3 structure, as listed in Alexandria.

a b c (Å): 4.5670 4.5670 10.0228
angles (deg): 90.00 90.00 90.00
Last column: nearest neighbours and their distance in Å.
Space group P-4m2 (No. 115)
One atom of each set of equivalent atoms:
Ac (0.0000, 0.5000, 0.2478) x2  2 Pd 3.37, 7 Pt 3.37-3.69, 8 As 3.41-3.44
As (0.0000, 0.0000, 0.5000) x1  4 Pt 2.56
As (0.0000, 0.5000, 0.8704) x2  3 Pt 2.55-2.63, 2 Pd 2.63
As (0.5000, 0.5000, 0.5000) x1  4 Pt 2.56
Pd (0.5000, 0.5000, 0.0000) x1  4 As 2.63
Pt (0.0000, 0.0000, 0.0000) x1  4 As 2.63
Pt (0.0000, 0.5000, 0.6164) x2  5 As 2.55-2.56

Results
formation enthalpy at 0 K: -0.961 eV/atom
uncorrected energy: -59.7 eV/f.u.
magnetization: 0.00 μB per cell
D(E_F): 0.273 states/eV/atom
volume: 20.91 A^3/atom

[5]
First-principles (GGA-PBE) data for a geometry-optimized Ac4TmZn3O12 structure, as listed in Alexandria.

a b c (Å): 8.1402 8.1402 8.1402
angles (deg): 90.00 90.00 90.00
Last column: nearest neighbours and their distance in Å.
Space group Im-3m (No. 229)
One atom of each set of equivalent atoms:
Ac (0.2500, 0.2500, 0.2500) x8  12 O 2.88
Tm (0.0000, 0.0000, 0.0000) x2  6 O 2.11
Zn (0.0000, 0.0000, 0.5000) x6  6 O 1.96-2.04
O (0.0000, 0.0000, 0.2594) x12  1 Zn 1.96, 1 Tm 2.11
O (0.0000, 0.2500, 0.5000) x12  2 Zn 2.04

Results
uncorrected energy: -132.3 eV/f.u.
magnetization: 0.00 μB per cell
D(E_F): 0.328 states/eV/atom
raw formation energy: -2.404 eV/atom
volume: 13.48 A^3/atom

[6]
First-principles (GGA-PBE) data for a geometry-optimized LiY3Se2F6 structure, as listed in Alexandria.

a b c (Å): 12.2549 7.5017 5.5152
angles (deg): 90.00 102.24 90.00
Last column: nearest neighbours and their distance in Å.
Space group C2/m (No. 12)
One atom of each set of equivalent atoms:
Li (0.0000, 0.0000, 0.0000) x2  2 F 1.88
Y (0.0000, 0.5000, 0.5000) x2  4 F 2.23
Y (0.2500, 0.2500, 0.0000) x4  4 F 2.23-2.29
Se (0.2047, 0.5000, 0.3478) x4  3 Y 2.81-2.82
F (0.0786, 0.2950, 0.7753) x8  2 Y 2.23
F (0.1569, 0.0000, 0.0852) x4  1 Li 1.88

Results
uncorrected energy: -77.6 eV/f.u.
magnetization: 0.00 μB per cell
D(E_F): 0.000 states/eV/atom
raw formation energy: -3.171 eV/atom
volume: 20.65 A^3/atom

[7]
First-principles (GGA-PBE) data for a geometry-optimized LiCdH2 structure, as listed in Alexandria.

a b c (Å): 5.6168 5.6168 5.6168
angles (deg): 90.00 90.00 90.00
Last column: nearest neighbours and their distance in Å.
Space group Fm-3m (No. 225)
One atom of each set of equivalent atoms:
Li (0.0000, 0.0000, 0.0000) x4  8 H 2.43
Cd (0.0000, 0.0000, 0.5000) x4  8 H 2.43
H (0.2500, 0.2500, 0.2500) x8  4 Cd 2.43, 4 Li 2.43

Results
uncorrected energy: -8.6 eV/f.u.
magnetization: 0.00 μB per cell
energy relative to the lowest polymorph listed for this composition: 236.9 meV per atom
D(E_F): 0.105 states/eV/atom
volume: 11.08 A^3/atom

[8]
First-principles (GGA-PBE) data for a geometry-optimized TbBeSiIr structure, as listed in Alexandria.

a b c (Å): 4.0039 4.0544 8.7269
angles (deg): 90.00 90.00 90.00
Last column: nearest neighbours and their distance in Å.
Space group Imm2 (No. 44)
One atom of each set of equivalent atoms:
Tb (0.0000, 0.0000, 0.0000) x2  4 Be 2.91-3.03, 4 Ir 3.03, 5 Si 3.05-3.14
Be (0.0000, 0.5000, 0.2387) x2  2 Si 2.25, 2 Ir 2.27
Si (0.0000, 0.0000, 0.3497) x2  2 Be 2.25, 1 Ir 2.33
Ir (0.0000, 0.0000, 0.6170) x2  2 Be 2.27, 1 Si 2.33

Results
uncorrected energy: -24.1 eV/f.u.
magnetization: 0.00 μB per cell
D(E_F): 0.636 states/eV/atom
raw formation energy: -0.369 eV/atom
volume: 17.71 A^3/atom

[9]
First-principles (GGA-PBE) data for a geometry-optimized Cr3NiAs structure, as listed in Alexandria.

a b c (Å): 4.4463 4.4463 4.4463
angles (deg): 90.00 90.00 90.00
Last column: nearest neighbours and their distance in Å.
Space group Pm-3m (No. 221)
One atom of each set of equivalent atoms:
Cr (0.0000, 0.0000, 0.5000) x3  2 Ni 2.22
Ni (0.0000, 0.0000, 0.0000) x1  6 Cr 2.22
As (0.5000, 0.5000, 0.5000) x1  12 Cr 3.14

Results
formation enthalpy at 0 K: 1.044 eV/atom
uncorrected energy: -34.1 eV/f.u.
magnetization: 9.86 μB per cell
energy relative to the lowest polymorph listed for this composition: 0.0 meV per atom
D(E_F): 1.417 states/eV/atom
volume: 17.58 A^3/atom

[10]
First-principles (GGA-PBE) data for a geometry-optimized NaHg3Rh structure, as listed in Alexandria.

a b c (Å): 5.2682 5.2682 5.2682
angles (deg): 90.00 90.00 90.00
Last column: nearest neighbours and their distance in Å.
Space group Pm-3m (No. 221)
One atom of each set of equivalent atoms:
Na (0.0000, 0.0000, 0.0000) x1  12 Hg 3.73
Hg (0.0000, 0.5000, 0.5000) x3  2 Rh 2.63
Rh (0.5000, 0.5000, 0.5000) x1  6 Hg 2.63

Results
formation enthalpy at 0 K: -0.031 eV/atom
uncorrected energy: -9.7 eV/f.u.
magnetization: 0.00 μB per cell
energy relative to the lowest polymorph listed for this composition: 0.0 meV per atom
D(E_F): 0.337 states/eV/atom
volume: 29.24 A^3/atom

[11]
First-principles (GGA-PBE) data for a geometry-optimized Th2AlGe4Pt3 structure, as listed in Alexandria.

a b c (Å): 4.3251 4.3251 10.4038
angles (deg): 90.00 90.00 90.00
Last column: nearest neighbours and their distance in Å.
Space group P-4m2 (No. 115)
One atom of each set of equivalent atoms:
Th (0.0000, 0.5000, 0.2478) x2  8 Ge 3.29-3.36, 6 Pt 3.30-3.40, 2 Al 3.40
Al (0.0000, 0.0000, 0.5000) x1  4 Ge 2.58
Ge (0.0000, 0.0000, 0.0000) x1  4 Pt 2.54
Ge (0.0000, 0.5000, 0.6358) x2  3 Pt 2.46-2.58, 2 Al 2.58
Ge (0.5000, 0.5000, 0.0000) x1  4 Pt 2.54
Pt (0.0000, 0.5000, 0.8720) x2  5 Ge 2.46-2.54
Pt (0.5000, 0.5000, 0.5000) x1  4 Ge 2.58

Results
formation enthalpy at 0 K: -0.837 eV/atom
uncorrected energy: -63.5 eV/f.u.
magnetization: 0.00 μB per cell
D(E_F): 0.438 states/eV/atom
volume: 19.46 A^3/atom

[12]
First-principles (GGA-PBE) data for a geometry-optimized CdAg2Au structure, as listed in Alexandria.

a b c (Å): 4.1704 4.1989 8.4835
angles (deg): 90.00 90.00 90.00
Last column: nearest neighbours and their distance in Å.
Space group Immm (No. 71)
One atom of each set of equivalent atoms:
Cd (0.0000, 0.0000, 0.0000) x2  4 Au 2.96, 8 Ag 2.98
Ag (0.0000, 0.5000, 0.2498) x4  4 Ag 2.96, 4 Au 2.97-2.99, 4 Cd 2.98
Au (0.0000, 0.0000, 0.5000) x2  4 Cd 2.96, 8 Ag 2.97-2.99

Results
formation enthalpy at 0 K: -0.093 eV/atom
uncorrected energy: -10.3 eV/f.u.
magnetization: 0.00 μB per cell
D(E_F): 0.349 states/eV/atom
volume: 18.57 A^3/atom